A.
# PmGa2Tc, optimized geometry, DFT GGA-PBE
data_PmGa2Tc
_chemical_formula_sum 'Pm1 Ga2 Tc1'
_cell_length_a 3.2757
_cell_length_b 3.2757
_cell_length_c 6.9829
_cell_angle_alpha 90.00
_cell_angle_beta 90.00
_cell_angle_gamma 90.00
_symmetry_space_group_name_H-M 'P 4/m m m'
_symmetry_Int_Tables_number 123
_symmetry_space_group_name_Hall '-P 4 2'
loop_
_atom_site_label
_atom_site_fract_x
_atom_site_fract_y
_atom_site_fract_z
_atom_site_occupancy
Pm1 0.0000 0.0000 0.0000 1
Ga1 0.5000 0.5000 0.3095 1
Tc1 0.0000 0.0000 0.5000 1
# crystal system	tetragonal

---

B.
# PmGa2Tc, optimized geometry, DFT GGA-PBE
data_PmGa2Tc
_chemical_formula_sum 'Pm3 Ga6 Tc3'
_cell_length_a 3.1526
_cell_length_b 3.1526
_cell_length_c 27.2185
_cell_angle_alpha 90.00
_cell_angle_beta 90.00
_cell_angle_gamma 120.00
_symmetry_space_group_name_H-M 'R -3 m'
_symmetry_Int_Tables_number 166
_symmetry_space_group_name_Hall '-R 3 2"'
loop_
_atom_site_label
_atom_site_fract_x
_atom_site_fract_y
_atom_site_fract_z
_atom_site_occupancy
Pm1 0.0000 0.0000 0.0000 1
Ga1 0.0000 0.0000 0.2363 1
Tc1 0.0000 0.0000 0.5000 1
# crystal system	trigonal

---

Which one sits at the bottom of the stability order? B does.